# 1
Here is crystalline Tb2Dy5Sc at its relaxed geometry from Alexandria. Energies are from PBE.

Summary:
The value obtained for the total magnetization is 0.000 μB per atom. As for the formation energy: 19 meV per atom. The value obtained for the energy above the most stable polymorph in this dataset is 0 meV per atom.

abc: 8.3557 7.1677 6.6424
angles: 74.35 55.69 49.95
With the nearest neighbours (Å) after each atom.
Element x y z (fractional)
Tb1 0.2453 0.7547 0.2453  1 Sc 3.43, 9 Dy 3.45-3.60, 2 Tb 3.58
Tb2 0.7547 0.2453 0.7547  1 Sc 3.43, 9 Dy 3.45-3.60, 2 Tb 3.58
Dy1 0.1691 0.6631 0.8309  4 Tb 3.45-3.51, 6 Dy 3.49-3.63, 2 Sc 3.58-3.59
Dy2 0.2482 0.2482 0.2518  2 Sc 3.48, 6 Dy 3.48-3.58, 4 Tb 3.56-3.60
Dy3 0.6631 0.1691 0.3369  4 Tb 3.45-3.51, 6 Dy 3.49-3.63, 2 Sc 3.58-3.59
Dy4 0.6644 0.6644 0.3356  8 Dy 3.48-3.61, 2 Tb 3.50, 2 Sc 3.58
Dy5 0.7482 0.7482 0.7518  2 Sc 3.48, 6 Dy 3.48-3.58, 4 Tb 3.56-3.60
Sc1 0.1654 0.1654 0.8346  2 Tb 3.43, 10 Dy 3.48-3.59

=====

# 2
Here is crystalline Tb4Dy2Sc5 at its relaxed geometry from Alexandria. Energies are from PBE.

Summary:
The value obtained for the total magnetization is 0.033 μB per atom. As for the formation energy: 130 meV per atom. The value obtained for the energy above the most stable polymorph in this dataset is 0 meV per atom.

abc: 8.7415 3.4413 11.1764
angles: 90.00 108.65 90.00
With the nearest neighbours (Å) after each atom.
Element x y z (fractional)
Tb1 0.2382 0.0000 0.2172  4 Sc 3.21-3.22, 2 Tb 3.44, 2 Dy 3.56
Tb2 0.2518 0.0000 0.6535  6 Sc 3.20-3.33, 2 Tb 3.44
Tb3 0.7482 0.0000 0.3465  6 Sc 3.20-3.33, 2 Tb 3.44
Tb4 0.7618 0.0000 0.7828  4 Sc 3.21-3.22, 2 Tb 3.44, 2 Dy 3.56
Dy1 0.1352 0.5000 0.9081  3 Sc 3.34-3.40, 3 Dy 3.44-3.59, 4 Tb 3.56-3.70
Dy2 0.8648 0.5000 0.0919  3 Sc 3.34-3.40, 3 Dy 3.44-3.59, 4 Tb 3.56-3.70
Sc1 0.0895 0.5000 0.3977  4 Sc 3.16-3.44, 6 Tb 3.22-3.33, 1 Dy 3.35
Sc2 0.4955 0.5000 0.1316  1 Sc 2.97, 4 Tb 3.20-3.21
Sc3 0.5000 0.5000 0.5000  4 Sc 3.40-3.44, 8 Tb 3.60-3.68
Sc4 0.5045 0.5000 0.8684  1 Sc 2.97, 4 Tb 3.20-3.21
Sc5 0.9105 0.5000 0.6023  4 Sc 3.16-3.44, 6 Tb 3.22-3.33, 1 Dy 3.35

=====

# 3
Here is crystalline Tb3Dy8Sc3 at its relaxed geometry from Alexandria. Energies are from PBE.

Summary:
The value obtained for the total magnetization is 0.000 μB per atom. As for the formation energy: 380 meV per atom.

abc: 10.1880 10.1880 10.1880
angles: 149.67 123.89 65.12
With the nearest neighbours (Å) after each atom.
Element x y z (fractional)
Tb1 0.0000 0.0000 0.0000  4 Dy 3.09
Tb2 0.2550 0.5000 0.7550  6 Dy 3.40-3.56, 4 Sc 3.55-3.78, 2 Tb 3.62
Tb3 0.7450 0.5000 0.2450  6 Dy 3.40-3.56, 4 Sc 3.55-3.78, 2 Tb 3.62
Dy1 0.1132 0.8773 0.2360  3 Tb 3.09-3.40, 3 Dy 3.12-3.16, 1 Sc 3.29
Dy2 0.1433 0.2989 0.8444  4 Dy 2.98-3.16
Dy3 0.3587 0.1227 0.2360  3 Tb 3.09-3.40, 3 Dy 3.12-3.16, 1 Sc 3.29
Dy4 0.4545 0.2989 0.1556  4 Dy 2.98-3.16
Dy5 0.5455 0.7011 0.8444  4 Dy 2.98-3.16
Dy6 0.6413 0.8773 0.7640  3 Tb 3.09-3.40, 3 Dy 3.12-3.16, 1 Sc 3.29
Dy7 0.8567 0.7011 0.1556  4 Dy 2.98-3.16
Dy8 0.8868 0.1227 0.7640  3 Tb 3.09-3.40, 3 Dy 3.12-3.16, 1 Sc 3.29
Sc1 0.1677 0.6677 0.5000  6 Dy 3.35-3.58
Sc2 0.5000 0.0000 0.5000  4 Dy 3.29, 4 Tb 3.55
Sc3 0.8323 0.3323 0.5000  6 Dy 3.35-3.58

=====

# 4
Here is crystalline Tb2Dy12Sc at its relaxed geometry from Alexandria. Energies are from PBE.

Summary:
The value obtained for the total magnetization is 0.001 μB per atom. As for the formation energy: 123 meV per atom.

abc: 6.6127 6.6127 24.4176
angles: 93.70 93.70 116.71
With the nearest neighbours (Å) after each atom.
Element x y z (fractional)
Tb1 0.0282 0.0282 0.2894  8 Dy 3.39-3.65, 2 Tb 3.41-3.59
Tb2 0.4677 0.4677 0.7301  2 Tb 3.41-3.59, 7 Dy 3.57-3.67
Tb3 0.5323 0.5323 0.2699  2 Tb 3.41-3.59, 7 Dy 3.57-3.67
Tb4 0.9718 0.9718 0.7106  8 Dy 3.39-3.65, 2 Tb 3.41-3.59
Dy1 0.0166 0.5804 0.1964  6 Dy 3.24-3.54, 1 Tb 3.58
Dy2 0.0549 0.5420 0.3279  6 Dy 3.24-3.54, 4 Tb 3.39-3.62
Dy3 0.1395 0.6600 0.5559  10 Dy 3.21-3.48
Dy4 0.1590 0.1590 0.1541  8 Dy 3.44-3.74, 1 Sc 3.48, 2 Tb 3.53-3.59
Dy5 0.1675 0.1675 0.5686  6 Dy 3.27-3.62
Dy6 0.1717 0.7281 0.0662  7 Dy 3.39-3.61, 3 Sc 3.40-3.58
Dy7 0.2719 0.8283 0.9338  7 Dy 3.39-3.61, 3 Sc 3.40-3.58
Dy8 0.3400 0.8605 0.4441  10 Dy 3.21-3.48
Dy9 0.3476 0.3476 0.4200  8 Dy 3.29-3.62, 1 Tb 3.65
Dy10 0.3671 0.3671 0.8870  8 Dy 3.31-3.67, 2 Sc 3.33-3.37
Dy11 0.4196 0.9834 0.8036  6 Dy 3.24-3.54, 1 Tb 3.58
Dy12 0.4580 0.9451 0.6721  6 Dy 3.24-3.54, 4 Tb 3.39-3.62
Dy13 0.5420 0.0549 0.3279  6 Dy 3.24-3.54, 4 Tb 3.39-3.62
Dy14 0.5804 0.0166 0.1964  6 Dy 3.24-3.54, 1 Tb 3.58
Dy15 0.6329 0.6329 0.1130  8 Dy 3.31-3.67, 2 Sc 3.33-3.37
Dy16 0.6524 0.6524 0.5800  8 Dy 3.29-3.62, 1 Tb 3.65
Dy17 0.6600 0.1395 0.5559  10 Dy 3.21-3.48
Dy18 0.7281 0.1717 0.0662  7 Dy 3.39-3.61, 3 Sc 3.40-3.58
Dy19 0.8283 0.2719 0.9338  7 Dy 3.39-3.61, 3 Sc 3.40-3.58
Dy20 0.8325 0.8325 0.4314  6 Dy 3.27-3.62
Dy21 0.8410 0.8410 0.8459  8 Dy 3.44-3.74, 1 Sc 3.48, 2 Tb 3.53-3.59
Dy22 0.8605 0.3400 0.4441  10 Dy 3.21-3.48
Dy23 0.9451 0.4580 0.6721  6 Dy 3.24-3.54, 4 Tb 3.39-3.62
Dy24 0.9834 0.4196 0.8036  6 Dy 3.24-3.54, 1 Tb 3.58
Sc1 0.2476 0.2476 0.0168  9 Dy 3.33-3.58, 2 Sc 3.43-3.69
Sc2 0.7524 0.7524 0.9832  9 Dy 3.33-3.58, 2 Sc 3.43-3.69

=====

# 5
Here is crystalline Tb4Dy6Sc at its relaxed geometry from Alexandria. Energies are from PBE.

Summary:
The value obtained for the total magnetization is 0.000 μB per atom. As for the formation energy: 294 meV per atom. The value obtained for the energy above the most stable polymorph in this dataset is 157 meV per atom.

abc: 9.6561 9.6561 9.6561
angles: 140.75 140.75 56.71
With the nearest neighbours (Å) after each atom.
Element x y z (fractional)
Tb1 0.1880 0.1880 0.6419  7 Dy 3.28-3.46, 1 Tb 3.28
Tb2 0.4539 0.8120 0.0000  7 Dy 3.28-3.46, 1 Tb 3.28
Tb3 0.5461 0.5461 0.3581  7 Dy 3.28-3.46, 1 Tb 3.28
Tb4 0.8120 0.4539 0.0000  7 Dy 3.28-3.46, 1 Tb 3.28
Dy1 0.0000 0.5000 0.5000  2 Sc 3.24, 4 Tb 3.28
Dy2 0.0144 0.6435 0.0000  5 Tb 3.33-3.46, 1 Sc 3.37, 1 Dy 3.40
Dy3 0.3565 0.3565 0.3709  5 Tb 3.33-3.46, 1 Sc 3.37, 1 Dy 3.40
Dy4 0.5000 0.0000 0.5000  2 Sc 3.24, 4 Tb 3.28
Dy5 0.6435 0.0144 0.0000  5 Tb 3.33-3.46, 1 Sc 3.37, 1 Dy 3.40
Dy6 0.9856 0.9856 0.6291  5 Tb 3.33-3.46, 1 Sc 3.37, 1 Dy 3.40
Sc1 0.0000 0.0000 0.0000  8 Dy 3.24-3.37

=====

# 6
Here is crystalline Tb2Dy3Sc2 at its relaxed geometry from Alexandria. Energies are from PBE.

Summary:
The value obtained for the total magnetization is 0.000 μB per atom. As for the formation energy: 36 meV per atom. The value obtained for the energy above the most stable polymorph in this dataset is 0 meV per atom.

abc: 11.9301 11.9301 3.4382
angles: 90.00 90.00 154.88
With the nearest neighbours (Å) after each atom.
Element x y z (fractional)
Tb1 0.0751 0.9249 0.0000  1 Sc 3.29, 3 Tb 3.44-3.50, 8 Dy 3.57-3.64
Tb2 0.9249 0.0751 0.0000  1 Sc 3.29, 3 Tb 3.44-3.50, 8 Dy 3.57-3.64
Dy1 0.3434 0.6566 0.5000  6 Sc 3.41-3.43, 3 Dy 3.44-3.65, 4 Tb 3.64
Dy2 0.5000 0.5000 0.5000  4 Dy 3.44-3.65, 8 Tb 3.57
Dy3 0.6566 0.3434 0.5000  6 Sc 3.41-3.43, 3 Dy 3.44-3.65, 4 Tb 3.64
Sc1 0.2162 0.7838 0.0000  2 Sc 3.03, 1 Tb 3.29
Sc2 0.7838 0.2162 0.0000  2 Sc 3.03, 1 Tb 3.29

=====

# 7
Here is crystalline Tb3DySc7 at its relaxed geometry from Alexandria. Energies are from PBE.

Summary:
The value obtained for the total magnetization is 0.026 μB per atom. As for the formation energy: 298 meV per atom.

abc: 7.9724 7.9724 7.9724
angles: 140.00 97.98 95.46
With the nearest neighbours (Å) after each atom.
Element x y z (fractional)
Tb1 0.0000 0.0000 0.0000  4 Sc 3.07
Tb2 0.2124 0.5000 0.7124  5 Sc 3.01-3.20
Tb3 0.7876 0.5000 0.2876  5 Sc 3.01-3.20
Dy1 0.5000 0.0000 0.5000  2 Sc 2.73
Sc1 0.0250 0.2166 0.8085  2 Tb 3.07-3.20, 5 Sc 3.07-3.39
Sc2 0.2071 0.7071 0.5000  1 Dy 3.14, 4 Tb 3.14-3.52, 6 Sc 3.33-3.39
Sc3 0.4081 0.2166 0.1915  2 Tb 3.07-3.20, 5 Sc 3.07-3.39
Sc4 0.5000 0.5000 0.0000  2 Dy 2.73, 2 Tb 3.01
Sc5 0.5919 0.7834 0.8085  2 Tb 3.07-3.20, 5 Sc 3.07-3.39
Sc6 0.7929 0.2929 0.5000  1 Dy 3.14, 4 Tb 3.14-3.52, 6 Sc 3.33-3.39
Sc7 0.9750 0.7834 0.1915  2 Tb 3.07-3.20, 5 Sc 3.07-3.39

=====

# 8
Here is crystalline Tb6Dy4Sc at its relaxed geometry from Alexandria. Energies are from PBE.

Summary:
The value obtained for the total magnetization is 0.000 μB per atom. As for the formation energy: 297 meV per atom. The value obtained for the energy above the most stable polymorph in this dataset is 160 meV per atom.

abc: 9.6545 9.6545 9.6545
angles: 140.66 140.66 56.85
With the nearest neighbours (Å) after each atom.
Element x y z (fractional)
Tb1 0.0000 0.5000 0.5000  2 Sc 3.25, 4 Dy 3.27
Tb2 0.0139 0.6422 0.0000  5 Dy 3.33-3.48, 1 Sc 3.38, 1 Tb 3.42
Tb3 0.3578 0.3578 0.3717  5 Dy 3.33-3.48, 1 Sc 3.38, 1 Tb 3.42
Tb4 0.5000 0.0000 0.5000  2 Sc 3.25, 4 Dy 3.27
Tb5 0.6422 0.0139 0.0000  5 Dy 3.33-3.48, 1 Sc 3.38, 1 Tb 3.42
Tb6 0.9861 0.9861 0.6283  5 Dy 3.33-3.48, 1 Sc 3.38, 1 Tb 3.42
Dy1 0.1892 0.1892 0.6418  7 Tb 3.27-3.48, 1 Dy 3.29
Dy2 0.4526 0.8108 0.0000  7 Tb 3.27-3.48, 1 Dy 3.29
Dy3 0.5474 0.5474 0.3582  7 Tb 3.27-3.48, 1 Dy 3.29
Dy4 0.8108 0.4526 0.0000  7 Tb 3.27-3.48, 1 Dy 3.29
Sc1 0.0000 0.0000 0.0000  8 Tb 3.25-3.38

=====

# 9
Here is crystalline Tb7Dy2Sc2 at its relaxed geometry from Alexandria. Energies are from PBE.

Summary:
The value obtained for the total magnetization is 0.000 μB per atom. As for the formation energy: 170 meV per atom. The value obtained for the energy above the most stable polymorph in this dataset is 47 meV per atom.

abc: 10.5345 10.5345 10.5345
angles: 160.35 66.41 117.29
With the nearest neighbours (Å) after each atom.
Element x y z (fractional)
Tb1 0.0000 0.0000 0.0000  2 Sc 3.41, 2 Tb 3.60, 1 Dy 3.81
Tb2 0.0424 0.7302 0.3121  3 Sc 3.20-3.53, 4 Tb 3.45-3.58, 1 Dy 3.58
Tb3 0.3394 0.4927 0.8466  3 Dy 3.22-3.59, 2 Sc 3.24, 6 Tb 3.45-3.60
Tb4 0.4181 0.7302 0.6879  3 Sc 3.20-3.53, 4 Tb 3.45-3.58, 1 Dy 3.58
Tb5 0.6348 0.2734 0.3614  2 Sc 3.13, 2 Dy 3.31
Tb6 0.6461 0.4927 0.1534  3 Dy 3.22-3.59, 2 Sc 3.24, 6 Tb 3.45-3.60
Tb7 0.9120 0.2734 0.6386  2 Sc 3.13, 2 Dy 3.31
Dy1 0.3537 0.8537 0.5000  6 Tb 3.58-3.59, 4 Dy 3.60-3.74
Dy2 0.6528 0.6528 0.0000  6 Tb 3.22-3.31, 2 Dy 3.60
Sc1 0.1828 0.9893 0.1936  7 Tb 3.13-3.41
Sc2 0.7957 0.9893 0.8064  7 Tb 3.13-3.41